Ac3Nd4Mg | PBE | optimized geometry

Cell: 3.8728 3.8728 19.7967 Å, 90.00 90.00 90.00°
With the nearest neighbours (Å) after each atom.
Space group P4/mmm (No. 123)
Asymmetric unit:
Ac 0.0000 0.0000 0.0000 [1 per cell]  8 Nd 3.81, 4 Ac 3.87
Ac 0.0000 0.0000 0.2683 [2 per cell]  8 Nd 3.78-3.82, 4 Ac 3.87
Nd 0.5000 0.5000 0.1336 [2 per cell]  8 Ac 3.81-3.82, 4 Nd 3.87
Nd 0.5000 0.5000 0.3999 [2 per cell]  4 Mg 3.38, 4 Ac 3.78
Mg 0.0000 0.0000 0.5000 [1 per cell]  8 Nd 3.38

Formation energy from the elements   -0.006 eV per atom
Total magnetic moment   0.000 μB per cell

=====

ErGa8Ni2 | PBE | optimized geometry

Cell: 5.6658 5.6658 7.2467 Å, 90.00 90.00 90.00°
With the nearest neighbours (Å) after each atom.
Space group P4/mmm (No. 123)
Asymmetric unit:
Er 0.0000 0.0000 0.0000 [1 per cell]  8 Ga 2.99
Ga 0.2574 0.2574 0.2991 [8 per cell]  2 Ni 2.48, 2 Ga 2.75
Ni 0.0000 0.5000 0.5000 [2 per cell]  8 Ga 2.48

Formation energy from the elements   -0.059 eV per atom
Total magnetic moment   0.000 μB per cell

=====

TiCu2PtRh | PBE | optimized geometry

Cell: 4.5908 4.5908 4.4154 Å, 90.00 90.00 90.00°
With the nearest neighbours (Å) after each atom.
Space group P4/mmm (No. 123)
Asymmetric unit:
Ti 0.0000 0.0000 0.0000 [1 per cell]  2 Rh 2.21
Cu 0.0000 0.5000 0.5000 [2 per cell]  2 Rh 2.30
Pt 0.5000 0.5000 0.0000 [1 per cell]  8 Cu 3.18, 4 Ti 3.25
Rh 0.0000 0.0000 0.5000 [1 per cell]  2 Ti 2.21, 4 Cu 2.30

Formation energy from the elements   0.747 eV per atom
Total magnetic moment   0.000 μB per cell

=====

Y2Ge6Rh | PBE | optimized geometry

Cell: 4.1599 3.9737 22.0391 Å, 90.00 90.00 90.00°
With the nearest neighbours (Å) after each atom.
Space group Amm2 (No. 38)
Asymmetric unit:
Y 0.0000 0.0000 0.0000 [2 per cell]  10 Ge 3.00-3.21
Y 0.0000 0.0000 0.3391 [2 per cell]  8 Ge 3.08-3.41, 4 Rh 3.17
Ge 0.0000 0.0000 0.6046 [2 per cell]  1 Ge 2.50
Ge 0.0000 0.0000 0.7181 [2 per cell]  2 Rh 2.48, 1 Ge 2.50
Ge 0.5000 0.0000 0.1004 [2 per cell]  1 Ge 2.51
Ge 0.5000 0.0000 0.2142 [2 per cell]  2 Rh 2.45, 1 Ge 2.51
Ge 0.5000 0.0000 0.4616 [2 per cell]  2 Ge 2.55
Ge 0.5000 0.0000 0.8890 [2 per cell]  1 Rh 2.43, 2 Ge 2.55
Rh 0.5000 0.0000 0.7790 [2 per cell]  5 Ge 2.43-2.48

Formation energy from the elements   -0.534 eV per atom
Total magnetic moment   0.000 μB per cell

=====

ScH2Pt2 | PBE | optimized geometry

Cell: 5.6513 5.6513 3.7475 Å, 90.00 90.00 90.00°
With the nearest neighbours (Å) after each atom.
Space group P4/mbm (No. 127)
Asymmetric unit:
Sc 0.0000 0.0000 0.0000 [2 per cell]  4 H 2.13
H 0.1561 0.3439 0.0000 [4 per cell]  2 Pt 1.88
Pt 0.1710 0.3290 0.5000 [4 per cell]  2 H 1.88

Energy above the most stable polymorph in this dataset   0.0 meV/atom
Total magnetic moment   0.000 μB per cell

=====

Tb2RhN | PBE | optimized geometry

Cell: 3.4827 3.4827 20.8292 Å, 90.00 90.00 120.00°
With the nearest neighbours (Å) after each atom.
Space group R-3m (No. 166, hexagonal axes)
Asymmetric unit:
Tb 0.0000 0.0000 0.2346 [6 per cell]  3 N 2.46
Rh 0.0000 0.0000 0.0000 [3 per cell]  6 Tb 2.88
N 0.0000 0.0000 0.5000 [3 per cell]  6 Tb 2.46

Total magnetic moment   0.000 μB per cell
Formation energy from raw total energies   -1.01 eV/atom

=====

Tm2VNi | PBE | optimized geometry

Cell: 3.3179 3.3179 28.4173 Å, 90.00 90.00 120.00°
With the nearest neighbours (Å) after each atom.
Space group R-3m (No. 166, hexagonal axes)
Asymmetric unit:
Tm 0.0000 0.0000 0.1002 [6 per cell]  3 Ni 2.69, 1 V 2.85
V 0.0000 0.0000 0.0000 [3 per cell]  2 Tm 2.85
Ni 0.0000 0.0000 0.5000 [3 per cell]  6 Tm 2.69

Formation energy from the elements   0.498 eV per atom
Total magnetic moment   9.108 μB per cell

=====

Ac2Tl3Hg5 | PBE | optimized geometry

Cell: 12.1850 13.9047 6.9837 Å, 90.00 90.00 90.00°
With the nearest neighbours (Å) after each atom.
Space group Ibam (No. 72)
Asymmetric unit:
Ac 0.2328 0.1266 0.0000 [8 per cell]  10 Hg 3.65-4.00, 4 Tl 3.73-3.82
Tl 0.0000 0.5000 0.2500 [4 per cell]  6 Hg 3.00-3.28
Tl 0.1260 0.1315 0.5000 [8 per cell]  5 Hg 2.81-2.97
Hg 0.0000 0.0000 0.2500 [4 per cell]  4 Tl 2.96
Hg 0.0000 0.2640 0.2500 [8 per cell]  2 Hg 2.93, 3 Tl 2.97-3.28
Hg 0.1439 0.3774 0.0000 [8 per cell]  3 Tl 2.81-3.00, 2 Hg 2.93

Formation energy from the elements   -0.195 eV per atom
Total magnetic moment   0.000 μB per cell

=====

SiRu2Se | PBE | optimized geometry

Cell: 2.9707 4.1874 9.4806 Å, 90.00 90.00 90.00°
With the nearest neighbours (Å) after each atom.
Space group Imm2 (No. 44)
Asymmetric unit:
Si 0.0000 0.0000 0.0000 [2 per cell]  6 Ru 2.50-2.57
Ru 0.0000 0.0000 0.4978 [2 per cell]  4 Si 2.57, 2 Se 2.60
Ru 0.0000 0.5000 0.7124 [2 per cell]  2 Si 2.50, 4 Se 2.57
Se 0.0000 0.5000 0.2228 [2 per cell]  6 Ru 2.57-2.60

Energy above the most stable polymorph in this dataset   211.6 meV/atom
Total magnetic moment   0.000 μB per cell
Formation energy from raw total energies   0.03 eV/atom

=====

Mn2ZnMoH | PBE | optimized geometry

Cell: 3.7915 3.7915 3.8537 Å, 90.00 90.00 90.00°
With the nearest neighbours (Å) after each atom.
Space group P4/mmm (No. 123)
Asymmetric unit:
Mn 0.0000 0.5000 0.0000 [2 per cell]  2 H 1.90
Zn 0.0000 0.0000 0.5000 [1 per cell]  4 Mo 2.68, 8 Mn 2.70
Mo 0.5000 0.5000 0.5000 [1 per cell]  2 H 1.93
H 0.5000 0.5000 0.0000 [1 per cell]  4 Mn 1.90, 2 Mo 1.93

Total magnetic moment   3.457 μB per cell
Electronic total energy   -6.639 eV per atom

=====

Rb2Tm2CrS6 | PBE | optimized geometry

Cell: 6.6161 11.2715 8.2147 Å, 90.00 106.35 90.00°
With the nearest neighbours (Å) after each atom.
Space group C2/m (No. 12)
Asymmetric unit:
Rb 0.0000 0.1726 0.0000 [4 per cell]  6 S 3.30-3.39
Tm 0.0000 0.3327 0.5000 [4 per cell]  6 S 2.69-2.70
Cr 0.0000 0.0000 0.5000 [2 per cell]  6 S 2.45
S 0.2174 0.1518 0.6812 [8 per cell]  1 Cr 2.45, 2 Tm 2.69-2.70
S 0.2397 0.0000 0.3211 [4 per cell]  1 Cr 2.45, 2 Tm 2.69

Total magnetic moment   4.128 μB per cell
Formation energy from raw total energies   -1.42 eV/atom

=====

CoTeOs2 | PBE | optimized geometry

Cell: 2.8537 3.7112 6.1837 Å, 90.00 100.75 90.00°
With the nearest neighbours (Å) after each atom.
Space group Pm (No. 6)
Asymmetric unit:
Co 0.0000 0.0000 0.0000 [1 per cell]  5 Os 2.52-2.72, 4 Te 2.65-2.77
Te 0.3706 0.5000 0.7750 [1 per cell]  4 Co 2.65-2.77, 3 Os 2.72-2.87, 2 Te 2.85
Os 0.1604 0.0000 0.4151 [1 per cell]  1 Co 2.52, 4 Os 2.61-2.62
Os 0.5801 0.5000 0.2233 [1 per cell]  6 Os 2.61-2.85, 4 Co 2.69-2.72, 1 Te 2.72

Total magnetic moment   0.011 μB per cell
Formation energy from raw total energies   0.57 eV/atom

=====

NaMnGeS2 | PBE | optimized geometry

Cell: 4.9736 4.9736 5.0630 Å, 90.00 90.00 90.00°
With the nearest neighbours (Å) after each atom.
Space group P4/mmm (No. 123)
Asymmetric unit:
Na 0.0000 0.0000 0.0000 [1 per cell]  2 Ge 2.53
Mn 0.5000 0.5000 0.0000 [1 per cell]  4 Na 3.52, 8 S 3.55
Ge 0.0000 0.0000 0.5000 [1 per cell]  4 S 2.49, 2 Na 2.53
S 0.0000 0.5000 0.5000 [2 per cell]  2 Ge 2.49

Total magnetic moment   5.467 μB per cell
Formation energy from raw total energies   0.59 eV/atom

=====

Ba2AgF5 | PBE | optimized geometry

Cell: 4.7126 5.6001 6.9424 Å, 112.38 99.19 92.99°
With the nearest neighbours (Å) after each atom.
Space group P1 (No. 1)
Asymmetric unit:
Ba 0.0000 0.0000 0.0000 [1 per cell]  7 F 2.59-2.88
Ba 0.3735 0.7413 0.4232 [1 per cell]  7 F 2.63-2.87
Ag 0.9816 0.2860 0.6265 [1 per cell]  4 F 2.31-2.55
F 0.0946 0.4941 0.9973 [1 per cell]  1 Ag 2.34
F 0.3392 0.2508 0.3806 [1 per cell]  1 Ag 2.55, 2 Ba 2.64-2.66, 1 F 2.81
F 0.4696 0.0087 0.8364 [1 per cell]  3 Ba 2.59-2.65
F 0.8326 0.9186 0.3164 [1 per cell]  1 Ag 2.31
F 0.9048 0.6827 0.5997 [1 per cell]  1 Ag 2.34, 1 Ba 2.62

Total magnetic moment   0.000 μB per cell
Formation energy from raw total energies   -3.04 eV/atom